CePmHo2, optimized geometry, DFT PBE; total DFT energy (no corrections) = -4.89 eV/atom; energy of formation = 27 kJ/mol of formula units; ΔE to the lowest computed polymorph = 0.48 kcal/mol of atoms; crystal system = tetragonal; DOS(E_F) = 7.3 states/eV/cell
1.0
4.972 0.000 0.000
0.000 5.041 0.000
0.000 0.000 5.041
Ho Ce Pm
2 1 1
Cartesian
0.000 0.000 2.521
0.000 2.521 0.000
2.486 0.000 0.000
2.486 2.521 2.521

CePm6Ho8, optimized geometry, DFT PBE; total DFT energy (no corrections) = -4.61 eV/atom; energy of formation = 183 kJ/mol of formula units; crystal system = trigonal; DOS(E_F) = 25.3 states/eV/cell
1.0
9.062 0.000 0.000
4.531 7.848 0.000
4.531 2.616 6.915
Ce Pm Ho
1 6 8
Cartesian
0.000 0.000 0.000
12.179 9.313 6.021
2.555 2.123 0.894
5.092 4.574 0.894
13.033 5.891 6.021
15.569 8.341 6.021
5.946 1.152 0.894
6.160 3.754 4.017
8.891 1.979 2.898
6.331 7.007 2.898
9.062 5.232 1.860
9.062 5.232 5.055
11.794 3.457 4.017
9.234 8.485 4.017
11.965 6.710 2.898

CePmHo2, optimized geometry, DFT PBE; total DFT energy (no corrections) = -4.80 eV/atom; energy of formation = 63 kJ/mol of formula units; ΔE to the lowest computed polymorph = 2.61 kcal/mol of atoms; crystal system = cubic; DOS(E_F) = 10.1 states/eV/cell
1.0
-4.395 -1.614 3.198
-1.455 -5.473 0.265
0.890 -2.942 4.764
Ho Ce Pm
2 1 1
Cartesian
-1.240 -2.507 2.057
-3.719 -7.522 6.170
-2.480 -5.015 4.114
0.000 0.000 0.000

CePmHo2, optimized geometry, DFT PBE; total DFT energy (no corrections) = -4.91 eV/atom; energy of formation = 19 kJ/mol of formula units; ΔE to the lowest computed polymorph = 0.00 kcal/mol of atoms; crystal system = trigonal; DOS(E_F) = 7.9 states/eV/cell
1.0
3.552 0.000 0.000
1.776 3.076 0.000
1.776 1.025 11.476
Ce Pm Ho
1 1 2
Cartesian
3.552 2.051 0.010
3.552 2.051 5.720
1.776 1.025 8.687
1.776 1.025 2.798